# 1
This record from the Alexandria database describes a PBEsol-optimized structure of Nd3IrO7. The functional is SCAN.

The structure in POSCAR format:
```
Nd3IrO7
1.0
5.441 -3.690 0.000
5.441 3.690 0.000
0.000 0.000 7.491
Nd Ir O
6 2 14
Direct
0.000 0.000 0.000 Nd
0.000 0.000 0.500 Nd
0.085 0.471 0.750 Nd
0.471 0.085 0.250 Nd
0.529 0.915 0.750 Nd
0.915 0.529 0.250 Nd
0.500 0.500 0.000 Ir
0.500 0.500 0.500 Ir
0.104 0.158 0.250 O
0.158 0.104 0.750 O
0.186 0.561 0.040 O
0.186 0.561 0.460 O
0.411 0.589 0.750 O
0.439 0.814 0.040 O
0.439 0.814 0.460 O
0.561 0.186 0.540 O
0.561 0.186 0.960 O
0.589 0.411 0.250 O
0.814 0.439 0.540 O
0.814 0.439 0.960 O
0.842 0.896 0.250 O
0.896 0.842 0.750 O
```

Calculated values
Symmetry: Cmcm
Uncorrected energy in eV per cell: -553.48
ΔE_f (raw) in eV/atom: -2.843



# 2
This record from the Alexandria database describes a PBEsol-optimized structure of NdPIr. The functional is SCAN.

The structure in POSCAR format:
```
NdPIr
1.0
-2.035 2.035 7.034
2.035 -2.035 7.034
2.035 2.035 -7.034
Nd P Ir
2 2 2
Direct
0.000 0.000 0.000 Nd
0.750 0.250 0.500 Nd
0.329 0.829 0.500 P
0.579 0.579 0.000 P
0.162 0.662 0.500 Ir
0.412 0.412 0.000 Ir
```

Calculated values
Calculated formation energy in meV/atom: -1310
Symmetry: I4_1md
Uncorrected energy in eV per cell: -258.02



# 3
This record from the Alexandria database describes a PBEsol-optimized structure of Nd2IrPd. The functional is SCAN.

The structure in POSCAR format:
```
Nd2IrPd
1.0
0.000 3.520 3.520
3.520 0.000 3.520
3.520 3.520 0.000
Nd Ir Pd
2 1 1
Direct
0.250 0.250 0.250 Nd
0.750 0.750 0.750 Nd
0.000 0.000 0.000 Ir
0.500 0.500 0.500 Pd
```

Calculated values
Calculated formation energy in meV/atom: -818
Symmetry: Fm-3m
Uncorrected energy in eV per cell: -194.31



# 4
This record from the Alexandria database describes a PBEsol-optimized structure of PmNdIr2. The functional is SCAN.

The structure in POSCAR format:
```
PmNdIr2
1.0
0.000 3.481 3.481
3.481 0.000 3.481
3.481 3.481 0.000
Pm Nd Ir
1 1 2
Direct
0.000 0.000 0.000 Pm
0.500 0.500 0.500 Nd
0.250 0.250 0.250 Ir
0.750 0.750 0.750 Ir
```

Calculated values
Calculated formation energy in meV/atom: -707
Symmetry: Fm-3m
Uncorrected energy in eV per cell: -232.59